# CrReAgSe2

CrReAgSe2 after structural relaxation (PBE, Alexandria).

The structure belongs to space group P4/mmm (No. 123); the cell edges are 4.8160, 4.8160 and 4.9957 Å and the angles 90.00°, 90.00° and 90.00°. The distinct sites, in fractional coordinates, are Cr at (0.0000, 0.0000, 0.0000), Re at (0.0000, 0.0000, 0.5000), Ag at (0.5000, 0.5000, 0.0000) and Se at (0.0000, 0.5000, 0.5000).

The value obtained for the total magnetic moment is 3.47 μB/cell. The raw formation energy is 0.77 eV per atom. The density of states at the Fermi level comes out at 0.5165 states/eV/atom. The total energy comes out at -0.20607 Ha/atom.